Crystalline Na2Tm2NpSe6 at its relaxed geometry, computed with GGA-PBE.

Cell and atoms, written as CIF:
```
data_Na2Tm2NpSe6
_chemical_formula_sum 'Na4 Tm4 Np2 Se12'
_space_group_name_H-M_alt 'C 1 2/m 1'
_space_group_IT_number 12
_cell_length_a 7.101
_cell_length_b 12.294
_cell_length_c 7.452
_cell_angle_alpha 90.00
_cell_angle_beta 108.57
_cell_angle_gamma 90.00
loop_
_space_group_symop_operation_xyz
'x,y,z'
'-x,-y,-z'
'-x,y,-z'
'x,-y,z'
'x+1/2,y+1/2,z'
'-x+1/2,-y+1/2,-z'
'-x+1/2,y+1/2,-z'
'x+1/2,-y+1/2,z'
loop_
_atom_site_label
_atom_site_type_symbol
_atom_site_fract_x
_atom_site_fract_y
_atom_site_fract_z
Na1 Na 0.000 0.168 0.000
Tm1 Tm 0.000 0.333 0.500
Np1 Np 0.000 0.000 0.500
Se1 Se 0.240 0.167 0.724
Se2 Se 0.243 0.500 0.723
```

Computed properties:
Final energy in eV for the cell shown: -124.041
V in Å³ per atom: 28.03
Crystal system: monoclinic
DOS at the Fermi energy in states/eV/atom: 0.44